# Pr

An optimized crystal structure of Pr (PBE-GGA, Alexandria).

Lattice parameters (Å, degrees): 3.7465 3.7465 6.0305 90.00 90.00 120.00
Last column: nearest neighbours and their distance in Å.
Fractional coordinates of all 2 atoms:
Pr 0.3333 0.6667 0.2500  12 Pr 3.71-3.75
Pr 0.6667 0.3333 0.7500  12 Pr 3.71-3.75

Properties
- mass density (Mg/m³) = 6.4
- DOS(E_F) (states/eV per cell) = 4.66
- formation energy (meV/atom) = 30
- polymorph energy (0 for the lowest one) (meV per atom) = 30